Here is a crystal of Mn2SiBi relaxed with PBEsol from Alexandria. Energies are from meta-GGA SCAN.

```
8
Lattice="-2.049 2.049 8.239 2.049 -2.049 8.239 2.049 2.049 -8.239" Properties=species:S:1:pos:R:3 pbc="T T T"
Mn 3.074 0.570 -2.060
Mn 0.570 1.025 2.060
Mn -1.025 1.480 6.180
Mn 1.480 1.025 10.299
Si 0.000 0.000 0.000
Si 0.000 2.049 4.120
Bi 2.049 0.000 4.120
Bi 0.000 0.000 8.239
```

Results
ρ, Mg/m³: 8.3
Crystal system: tetragonal
Space-group type: No. 122
DFT total energy, eV per atom: -30.7226
Formation energy from raw total energies, eV per atom: 0.554